[1]
{
  "formula": "CoMo2Se",
  "functional": "PBE-GGA",
  "state": "optimized geometry",
  "total_magnetization_mub_per_cell": 0.69,
  "dos_at_fermi_per_ev_fu": 2.76,
  "de_polymorph_mev_per_atom": 168,
  "lattice_angstrom": [[2.896, 0.000, 0.000], [0.000, 3.944, 0.000], [-1.305, 0.000, 5.169]],
  "species": ["Co", "Mo", "Mo", "Se"],
  "frac_coords": [[0.000, 0.000, 0.000], [0.449, 0.500, 0.759], [0.551, 0.500, 0.241], [0.000, 0.000, 0.500]]
}

***

[2]
{
  "formula": "CoSnMo2Se",
  "functional": "PBE-GGA",
  "state": "optimized geometry",
  "total_magnetization_mub_per_cell": 0.00,
  "dos_at_fermi_per_ev_fu": 4.99,
  "e_tot_ev_per_atom": -6.477,
  "lattice_angstrom": [[4.698, 0.000, 0.000], [0.000, 4.698, 0.000], [0.000, 0.000, 4.205]],
  "species": ["Co", "Sn", "Mo", "Mo", "Se"],
  "frac_coords": [[0.000, 0.000, 0.000], [0.500, 0.500, 0.000], [0.000, 0.500, 0.500], [0.500, 0.000, 0.500], [0.000, 0.000, 0.500]]
}

***

[3]
{
  "formula": "ZnCo2MoSe",
  "functional": "PBE-GGA",
  "state": "optimized geometry",
  "total_magnetization_mub_per_cell": 2.01,
  "dos_at_fermi_per_ev_fu": 9.15,
  "e_tot_ev_per_atom": -5.198,
  "lattice_angstrom": [[4.263, 0.000, 0.000], [0.000, 4.263, 0.000], [0.000, 0.000, 4.672]],
  "species": ["Zn", "Co", "Co", "Mo", "Se"],
  "frac_coords": [[0.000, 0.000, 0.000], [0.000, 0.500, 0.500], [0.500, 0.000, 0.500], [0.500, 0.500, 0.000], [0.500, 0.500, 0.500]]
}

***

[4]
{
  "formula": "CoSi2Mo",
  "functional": "PBE-GGA",
  "state": "optimized geometry",
  "total_magnetization_mub_per_cell": 0.00,
  "dos_at_fermi_per_ev_fu": 2.08,
  "e_tot_ev_per_atom": -7.434,
  "lattice_angstrom": [[5.851, 0.000, 0.000], [0.000, 5.851, 0.000], [0.000, 0.000, 5.851]],
  "species": ["Co", "Co", "Co", "Co", "Si", "Si", "Si", "Si", "Si", "Si", "Si", "Si", "Mo", "Mo", "Mo", "Mo"],
  "frac_coords": [[0.000, 0.000, 0.000], [0.000, 0.500, 0.500], [0.500, 0.000, 0.500], [0.500, 0.500, 0.000], [0.250, 0.250, 0.250], [0.250, 0.250, 0.750], [0.250, 0.750, 0.250], [0.250, 0.750, 0.750], [0.750, 0.250, 0.250], [0.750, 0.250, 0.750], [0.750, 0.750, 0.250], [0.750, 0.750, 0.750], [0.000, 0.000, 0.500], [0.000, 0.500, 0.000], [0.500, 0.000, 0.000], [0.500, 0.500, 0.500]]
}